VASP calculation (PBE-GGA) on an optimized crystal structure of Cs2HfTaNi.

SG: P4/mmm, No. 123
volume: 31.459 Å³ per atom
energy of formation from the pure elements: 948 kJ/mol of formula units
DFT total energy: -3.893 eV per atom
Fermi-level density of states: 4.2 states/eV/cell

a b c (Å): 5.5721 5.0661 5.5721
angles (deg): 90.00 90.00 90.00
Closest atoms and distances in Å follow each position.
Fractional coordinates of all 5 atoms:
Hf 0.5000 0.5000 0.5000  8 Cs 3.77, 4 Ta 3.94
Ta 0.0000 0.5000 0.0000  2 Ni 2.53
Cs 0.5000 0.0000 0.0000  2 Ni 2.79
Cs 0.0000 0.0000 0.5000  2 Ni 2.79
Ni 0.0000 0.0000 0.0000  2 Ta 2.53, 4 Cs 2.79